HoLu3Fe: optimized geometry, PBE-GGA.

Cell: 5.1450 5.1450 5.1450 Å, 90.00 90.00 90.00°
Space group Pm-3m (No. 221)
Unique sites:
Ho  0.0000  0.0000  0.0000
Lu  0.0000  0.5000  0.5000
Fe  0.5000  0.5000  0.5000


HoLuFeRu: optimized geometry, PBE-GGA.

Cell: 6.6965 6.6965 6.6965 Å, 90.00 90.00 90.00°
Space group F-43m (No. 216)
Unique sites:
Ho  0.0000  0.0000  0.0000
Lu  0.0000  0.0000  0.5000
Fe  0.2500  0.2500  0.2500
Ru  0.2500  0.2500  0.7500


Ho3MgFe8: optimized geometry, PBE-GGA.

Cell: 5.0687 5.0687 24.8255 Å, 90.00 90.00 120.00°
Space group R3m (No. 160, hexagonal axes)
Unique sites:
Ho  0.0000  0.0000  0.0000
Ho  0.0000  0.0000  0.1268
Ho  0.0000  0.0000  0.6214
Mg  0.0000  0.0000  0.4983
Fe  0.0000  0.0000  0.3122
Fe  0.0000  0.0000  0.8113
Fe  0.0008  0.5004  0.0629
Fe  0.0007  0.5004  0.5608


Ho5Mg2Fe2: optimized geometry, PBE-GGA.

Cell: 17.7059 7.0906 7.1874 Å, 90.00 90.00 90.00°
Space group Cmce (No. 64)
Unique sites:
Ho  0.0000  0.0000  0.0000
Ho  0.1123  0.1854  0.3145
Mg  0.2329  0.0000  0.0000
Fe  0.0000  0.1045  0.6082


Number 1: ΔH_f (0 K) 0.073 eV/atom. Number 2: ΔH_f (0 K) -0.132 eV/atom. Number 3: ΔH_f (0 K) -0.065 eV/atom. Number 4: ΔH_f (0 K) -0.007 eV/atom.